# 1
This record from Alexandria describes a geometry-optimized KSi2Ir structure. The functional is PBE.

a b c (Å): 3.158 3.158 7.797
angles (deg): 90.00 90.00 90.00
Atoms (fractional coordinates):
K1 0.000 0.000 0.000
Si1 0.000 0.000 0.517
Si2 0.500 0.500 0.327
Ir1 0.500 0.500 0.647

Calculated values
Symmetry: P4mm (99)
Excess energy over the best structure of this formula in the dataset in meV per atom: 324
E_tot in eV/atom: -5.160



# 2
This record from Alexandria describes a geometry-optimized KSi2Ir structure. The functional is PBE.

a b c (Å): 5.854 5.854 5.854
angles (deg): 150.96 123.22 65.03
Atoms (fractional coordinates):
K1 0.000 0.000 0.000
Si1 0.299 0.799 0.500
Si2 0.509 0.509 0.000
Ir1 0.689 0.189 0.500

Calculated values
Symmetry: Imm2 (44)
Excess energy over the best structure of this formula in the dataset in meV per atom: 760
E_tot in eV/atom: -4.725



# 3
This record from Alexandria describes a geometry-optimized K2SiIr structure. The functional is PBE.

a b c (Å): 6.443 6.443 6.443
angles (deg): 145.74 127.89 63.85
Atoms (fractional coordinates):
K1 0.000 0.000 0.000
K2 0.693 0.193 0.500
Si1 0.287 0.787 0.500
Ir1 0.398 0.398 0.000

Calculated values
Symmetry: Imm2 (44)
E_tot in eV/atom: -4.056